Record 1
Density functional theory data (PBE-GGA) for La4GaTeBr2 after structural relaxation.

Density in Mg/m³: 6.02
Formation energy from raw total energies in eV/f.u.: -9.82
Uncorrected energy in eV/atom: -4.8802
DOS(E_F) in states/eV per atom: 0.67

Unit cell a=4.498 b=7.456 c=7.992 alpha=70.06 beta=90.00 gamma=90.00
Atoms (fractional coordinates):
Te  0.000  0.500  0.500
La  0.000  0.266  0.224
La  0.500  0.747  0.229
La  0.000  0.734  0.776
La  0.500  0.253  0.771
Br  0.000  0.000  0.000
Br  0.500  0.000  0.500
Ga  0.500  0.500  0.000


Record 2
Density functional theory data (PBE-GGA) for BaGa6Sn2 after structural relaxation.

Density in Mg/m³: 5.86
Uncorrected energy in eV/atom: -3.2724
DOS(E_F) in states/eV per atom: 0.43

Unit cell a=4.941 b=4.941 c=9.205 alpha=90.00 beta=90.00 gamma=90.00
Atoms (fractional coordinates):
Ga  0.000  0.000  0.500
Ga  0.000  0.500  0.666
Ga  0.000  0.500  0.334
Ga  0.500  0.500  0.500
Ga  0.500  0.000  0.334
Ga  0.500  0.000  0.666
Sn  0.500  0.500  0.842
Sn  0.500  0.500  0.158
Ba  0.000  0.000  0.000